First-principles (PBE) data for an optimized crystal structure of FeHg2Bi2, as listed in Alexandria.

Properties
* calculated formation energy: 0.39 eV per atom
* total DFT energy (no corrections): -2.978 eV/atom
* Fermi-level density of states: 0.654 states/eV per atom
* space-group type: P4/mbm

a b c (Å): 7.0675 7.0675 5.4869
angles (deg): 90.00 90.00 90.00
Sites, in units of the cell vectors:
Fe 0.0000 0.0000 0.0000
Fe 0.5000 0.5000 0.0000
Hg 0.1674 0.3326 0.5000
Hg 0.3326 0.8326 0.5000
Hg 0.6674 0.1674 0.5000
Hg 0.8326 0.6674 0.5000
Bi 0.1597 0.6597 0.0000
Bi 0.3403 0.1597 0.0000
Bi 0.6597 0.8403 0.0000
Bi 0.8403 0.3403 0.0000